Entry 1:
PmDy2Au6: relaxed, GGA-PBE.

Computed properties:
Total energy   -80.435 eV per cell
Volume   400.1 Å³ per cell
Total magnetization   0.00 μB/f.u.

Structure (POSCAR):
```
PmDy2Au6
1.0
6.9646 -5.5261 0.0000
6.9646 5.5261 0.0000
-1.0833 0.0000 5.1983
Pm Dy Au
2 4 12
direct
0.1255 0.8745 0.7500
0.8745 0.1255 0.2500
0.2089 0.4572 0.9143
0.4572 0.2089 0.4143
0.5428 0.7911 0.5857
0.7911 0.5428 0.0857
0.0172 0.7584 0.1872
0.1016 0.3529 0.3536
0.2416 0.9828 0.3128
0.3229 0.5644 0.4763
0.3529 0.1016 0.8536
0.4356 0.6771 0.0237
0.5644 0.3229 0.9763
0.6471 0.8984 0.1464
0.6771 0.4356 0.5237
0.7584 0.0172 0.6872
0.8984 0.6471 0.6464
0.9828 0.2416 0.8128
```

Entry 2:
Pm3Dy3Au4: relaxed, GGA-PBE.

Computed properties:
Total energy   -47.883 eV per cell
Volume   264.2 Å³ per cell
Total magnetization   0.00 μB/f.u.

Structure (POSCAR):
```
Pm3Dy3Au4
1.0
3.8624 0.0000 0.0000
0.0000 5.9001 5.7963
0.0000 -5.9001 5.7963
Pm Dy Au
3 3 4
direct
0.0000 0.0000 0.0000
0.0000 0.4929 0.8235
0.0000 0.8235 0.4929
0.0000 0.3290 0.3290
0.5000 0.1582 0.6602
0.5000 0.6602 0.1582
0.5000 0.0379 0.2972
0.5000 0.2972 0.0379
0.5000 0.5260 0.5260
0.5000 0.7918 0.7918
```

Entry 3:
Pm3Dy4Au4: relaxed, GGA-PBE.

Computed properties:
Total energy   -52.071 eV per cell
Volume   298.7 Å³ per cell
Total magnetization   0.00 μB/f.u.

Structure (POSCAR):
```
Pm3Dy4Au4
1.0
-2.4348 3.8773 7.9087
2.4348 -3.8773 7.9087
2.4348 3.8773 -7.9087
Pm Dy Au
3 4 4
direct
0.0000 0.0000 0.0000
0.3973 0.8973 0.5000
0.6027 0.1027 0.5000
0.0417 0.3273 0.7144
0.3871 0.6727 0.7144
0.6129 0.3273 0.2856
0.9583 0.6727 0.2856
0.2060 0.2060 0.0000
0.3108 0.5000 0.8108
0.6892 0.5000 0.1892
0.7940 0.7940 0.0000
```

Entry 4:
PmDy3Au: relaxed, GGA-PBE.

Computed properties:
Total energy   -45.816 eV per cell
Volume   318.1 Å³ per cell
Total magnetization   0.00 μB/f.u.

Structure (POSCAR):
```
PmDy3Au
1.0
5.8245 -4.2316 0.0000
5.8245 4.2316 0.0000
-4.5395 0.0000 6.4523
Pm Dy Au
2 6 2
direct
0.0831 0.0831 0.2779
0.9169 0.9169 0.7221
0.0124 0.6109 0.2824
0.3891 0.9876 0.7176
0.4534 0.4534 0.6890
0.5466 0.5466 0.3110
0.6109 0.0124 0.2824
0.9876 0.3891 0.7176
0.2355 0.2355 0.0685
0.7645 0.7645 0.9315
```

Entry 5:
PmDyAu: relaxed, GGA-PBE.

Computed properties:
ΔE to the lowest computed polymorph   179.5 meV per atom
Total energy   -55.394 eV per cell
Volume   361.7 Å³ per cell
Total magnetization   0.00 μB/f.u.

Structure (POSCAR):
```
PmDyAu
1.0
7.1252 0.0000 0.0000
0.0000 7.1252 0.0000
0.0000 0.0000 7.1252
Pm Dy Au
4 4 4
direct
0.0000 0.0000 0.0000
0.0000 0.5000 0.5000
0.5000 0.0000 0.5000
0.5000 0.5000 0.0000
0.0000 0.0000 0.5000
0.0000 0.5000 0.0000
0.5000 0.0000 0.0000
0.5000 0.5000 0.5000
0.2500 0.2500 0.7500
0.2500 0.7500 0.2500
0.7500 0.2500 0.2500
0.7500 0.7500 0.7500
```

Entry 6:
Pm4Dy3Au4: relaxed, GGA-PBE.

Computed properties:
Total energy   -51.714 eV per cell
Volume   305.3 Å³ per cell
Total magnetization   0.00 μB/f.u.

Structure (POSCAR):
```
Pm4Dy3Au4
1.0
-1.8963 4.6348 8.6849
1.8963 -4.6348 8.6849
1.8963 4.6348 -8.6849
Pm Dy Au
4 3 4
direct
0.0244 0.8390 0.1854
0.3464 0.1610 0.1854
0.6536 0.8390 0.8146
0.9756 0.1610 0.8146
0.0000 0.5000 0.5000
0.3986 0.3986 0.0000
0.6014 0.6014 0.0000
0.2597 0.7597 0.5000
0.3208 0.0000 0.3208
0.6792 0.0000 0.6792
0.7403 0.2403 0.5000
```

Q: Which value of total energy does entry 5 give?
A: -55.394 eV per cell